Crystalline Pm6Pr2Er3 at its relaxed geometry. Source: Alexandria via LeMat-Bulk, functional PBE.

Geometry as CIF:
```
data_Pm6Pr2Er3
_symmetry_space_group_name_H-M 'C 1 2/m 1'
_symmetry_Int_Tables_number 12
_cell_length_a 6.213
_cell_length_b 10.775
_cell_length_c 11.816
_cell_angle_alpha 90.00
_cell_angle_beta 100.22
_cell_angle_gamma 90.00
loop_
_symmetry_equiv_pos_as_xyz
'x,y,z'
'-x,-y,-z'
'-x,y,-z'
'x,-y,z'
'x+1/2,y+1/2,z'
'-x+1/2,-y+1/2,-z'
'-x+1/2,y+1/2,-z'
'x+1/2,-y+1/2,z'
loop_
_atom_site_label
_atom_site_type_symbol
_atom_site_fract_x
_atom_site_fract_y
_atom_site_fract_z
Pm1 Pm 0.248 0.000 0.246
Pm2 Pm 0.249 0.334 0.246
Pr1 Pr 0.000 0.333 0.500
Er1 Er 0.000 0.166 0.000
Er2 Er 0.000 0.500 0.000
```

**Raw total energy**: -4.54 eV/atom
**E_form**: 16.0 kJ/mol of atoms
**ρ**: 7.05 g cm⁻³